Material: Ac4SnBi2
Method: DFT, GGA-PBE
State: relaxed

Cell and atoms, written as extended XYZ:
```
14
Lattice="0.9908 -2.8271 -8.3491 3.6578 -5.8419 5.5832 -8.6517 0.8151 1.7790" Properties=species:S:1:pos:R:3 pbc="T T T"
Ac 3.2203 -6.1576 -1.0455
Sn 0.4091 -4.8375 -3.0255
Ac -1.1052 -5.7359 -0.1607
Ac -1.6586 -2.2954 1.8130
Ac -1.1162 -1.8409 -2.9884
Sn 0.0000 0.0000 0.0000
Ac -3.1276 -5.7641 -3.4715
Ac 0.1604 -5.2126 4.6150
Ac -5.9451 -2.9182 -3.4395
Bi -3.0204 -2.8152 -5.6904
Bi 1.4698 -4.2886 1.6143
Bi -3.5577 -3.0623 -0.9586
Ac -6.4402 -1.4907 0.7303
Bi -2.8979 -5.5417 3.0611
```

Results
As for the spin magnetization: 0.02 μB per formula unit. The value obtained for the formation energy from the elements is -5.490 eV/f.u. Its space-group type is I-42d. As for the crystal system: tetragonal. Its total energy is -0.1769 Ha/atom.

=====

Material: Ac2SnBi5
Method: DFT, GGA-PBE
State: relaxed

Cell and atoms, written as extended XYZ:
```
16
Lattice="5.1663 0.0000 0.0000 0.0000 9.7715 0.0000 0.0000 0.0000 10.4110" Properties=species:S:1:pos:R:3 pbc="T T T"
Ac 2.5831 4.8858 2.5970
Bi 2.5831 2.4152 0.0001
Bi 0.0000 2.4428 2.6029
Ac 2.5831 0.0001 2.6082
Sn 0.0000 4.8857 5.2055
Bi 2.5831 2.4705 5.2056
Bi 0.0000 0.0000 5.2055
Ac 2.5831 9.7714 7.8028
Ac 2.5831 4.8857 7.8140
Bi 0.0000 4.8857 0.0000
Bi 2.5831 7.3563 10.4109
Bi 0.0000 2.4429 7.8087
Sn 0.0000 0.0000 0.0000
Bi 2.5831 7.3010 5.2054
Bi 0.0000 7.3286 2.6023
Bi 0.0000 7.3287 7.8081
```

Results
As for the energy relative to the lowest polymorph listed for this composition: 0.006 eV per atom. As for the spin magnetization: 0.00 μB per formula unit. The value obtained for the formation energy from the elements is -4.171 eV/f.u. Its space-group type is Cmmm. As for the crystal system: orthorhombic. Its total energy is -0.1644 Ha/atom.

=====

Material: Ac6Sn5Bi
Method: DFT, GGA-PBE
State: relaxed

Cell and atoms, written as extended XYZ:
```
12
Lattice="8.3748 0.2125 0.0000 2.5613 7.9875 0.0000 1.2807 3.9938 7.2131" Properties=species:S:1:pos:R:3 pbc="T T T"
Ac 8.1943 6.1495 4.8136
Ac 4.0226 6.0443 2.3995
Sn 1.2807 3.9938 2.4103
Ac 8.2274 6.1452 0.0000
Ac 6.9136 2.1557 2.3995
Bi 0.0000 0.0000 0.0000
Sn 5.4681 4.1000 0.0000
Sn 2.5613 7.9875 4.8028
Ac 5.3032 10.0380 4.8136
Ac 2.7088 2.0548 0.0000
Sn 6.7487 8.0937 2.3700
Sn 5.4681 4.1000 4.8431
```

Results
As for the spin magnetization: 0.00 μB per formula unit. The value obtained for the formation energy from the elements is -7.040 eV/f.u. Its space-group type is C2/m. As for the crystal system: monoclinic. Its total energy is -0.1702 Ha/atom.

=====

Material: Ac5SnBi4
Method: DFT, GGA-PBE
State: relaxed

Cell and atoms, written as extended XYZ:
```
10
Lattice="6.8821 0.0000 0.0000 3.4410 7.7015 0.0000 3.4410 0.0000 7.7015" Properties=species:S:1:pos:R:3 pbc="T T T"
Sn 0.0095 0.0000 0.0000
Bi 6.8888 3.0745 6.1431
Bi 10.3298 6.1431 4.6270
Ac 10.3294 3.0678 6.1761
Ac 6.8884 6.1761 4.6337
Ac 3.4473 4.6337 1.5254
Ac 6.8884 1.5254 3.0678
Bi 6.8888 4.6270 1.5584
Bi 3.4478 1.5584 3.0745
Ac 3.4501 0.0000 0.0000
```

Results
As for the spin magnetization: 0.00 μB per formula unit. The value obtained for the formation energy from the elements is -8.991 eV/f.u. Its space-group type is I4/m. As for the crystal system: tetragonal. Its total energy is -0.1803 Ha/atom.

=====

Look up the spin magnetization of the fourth one.
0.00 μB per formula unit

=====

What is the formation energy from the elements in the fourth record?
-8.991 eV/f.u.